Below is a geometry-optimized V2SbIr2 structure, with properties calculated at the PBE-GGA level.

Raw formation energy, kJ/mol of atoms: -21
Electronic total energy, eV/atom: -8.232
Crystal system: tetragonal

abc: 7.5405 7.5405 2.8303
angles: 90.00 90.00 90.00
Space group P4/mbm (No. 127)
One atom of each set of equivalent atoms:
V 0.1544 0.3456 0.0000 (multiplicity 4)
Sb 0.0000 0.0000 0.5000 (multiplicity 2)
Ir 0.1345 0.6345 0.5000 (multiplicity 4)

Below is a geometry-optimized VSbIr3 structure, with properties calculated at the PBE-GGA level.

Raw formation energy, kJ/mol of atoms: 98
Electronic total energy, eV/atom: -6.950
Relative energy among the computed polymorphs, eV/atom: 0.000
Crystal system: cubic

abc: 4.5923 4.5923 4.5923
angles: 90.00 90.00 90.00
Space group Pm-3m (No. 221)
One atom of each set of equivalent atoms:
V 0.0000 0.0000 0.0000 (multiplicity 1)
Sb 0.5000 0.5000 0.5000 (multiplicity 1)
Ir 0.0000 0.0000 0.5000 (multiplicity 3)

Below is a geometry-optimized V2SbIr structure, with properties calculated at the PBE-GGA level.

Raw formation energy, kJ/mol of atoms: 22
Electronic total energy, eV/atom: -7.573
Crystal system: tetragonal

abc: 7.1387 7.1387 5.4524
angles: 90.00 90.00 90.00
Space group I-42d (No. 122)
One atom of each set of equivalent atoms:
V 0.2184 0.2500 0.1250 (multiplicity 8)
Sb 0.0000 0.0000 0.5000 (multiplicity 4)
Ir 0.0000 0.0000 0.0000 (multiplicity 4)

Below is a geometry-optimized VSbIr3 structure, with properties calculated at the PBE-GGA level.

Raw formation energy, kJ/mol of atoms: 165
Electronic total energy, eV/atom: -6.259
Relative energy among the computed polymorphs, eV/atom: 0.691
Crystal system: cubic

abc: 4.8126 4.8126 4.8126
angles: 90.00 90.00 90.00
Space group Pm-3m (No. 221)
One atom of each set of equivalent atoms:
V 0.0000 0.0000 0.0000 (multiplicity 1)
Sb 0.5000 0.5000 0.5000 (multiplicity 1)
Ir 0.0000 0.5000 0.5000 (multiplicity 3)

Question: Look up the electronic total energy of the second one.
Answer: -6.950 eV/atom

Question: Among the records above, which one has the highest electronic total energy?
Answer: number 4

Please write out number 4 again, unchanged.
Below is a geometry-optimized VSbIr3 structure, with properties calculated at the PBE-GGA level.

Raw formation energy, kJ/mol of atoms: 165
Electronic total energy, eV/atom: -6.259
Relative energy among the computed polymorphs, eV/atom: 0.691
Crystal system: cubic

abc: 4.8126 4.8126 4.8126
angles: 90.00 90.00 90.00
Space group Pm-3m (No. 221)
One atom of each set of equivalent atoms:
V 0.0000 0.0000 0.0000 (multiplicity 1)
Sb 0.5000 0.5000 0.5000 (multiplicity 1)
Ir 0.0000 0.5000 0.5000 (multiplicity 3)